(1)
# Li2TeNO

Li2TeNO after structural relaxation (PBE-GGA, the Alexandria database).

abc: 3.405 7.666 3.405
angles: 90.00 90.00 90.00
Fractional positions:
Te 0.500 0.500 0.500
Li 0.000 0.000 0.500
Li 0.500 0.000 0.000
O 0.000 0.000 0.000
N 0.000 0.500 0.000

Computed properties:
DOS at the Fermi energy in states/eV/cell: 1.984
Crystal system: tetragonal
DFT total energy in eV/atom: -4.28
Energy relative to the elements, uncorrected in eV/atom: -0.234
Magnetic moment in μB/f.u.: 0.240

***

(2)
# LiTiNO

LiTiNO after structural relaxation (PBE-GGA, the Alexandria database).

abc: 3.425 3.425 4.039
angles: 90.00 90.00 120.00
Fractional positions:
Li 0.170 0.339 0.000
Ti 0.836 0.673 0.500
N 0.170 0.340 0.500
O 0.836 0.673 0.000

Computed properties:
Crystal system: hexagonal
DFT total energy in eV/atom: -7.67
Energy relative to the elements, uncorrected in eV/atom: -1.902
Magnetic moment in μB/f.u.: 0.000

***

(3)
# LiTi2N2O

LiTi2N2O after structural relaxation (PBE-GGA, the Alexandria database).

abc: 4.192 6.034 6.022
angles: 120.07 90.00 90.00
Fractional positions:
Li 0.246 0.849 0.000
Li 0.746 0.151 0.000
Ti 0.746 0.830 0.331
Ti 0.746 0.499 0.669
Ti 0.246 0.501 0.331
Ti 0.246 0.170 0.669
N 0.246 0.836 0.346
N 0.246 0.490 0.654
N 0.746 0.164 0.654
N 0.746 0.510 0.346
O 0.746 0.813 0.000
O 0.246 0.187 0.000

Computed properties:
DOS at the Fermi energy in states/eV/cell: 3.151
Crystal system: orthorhombic
DFT total energy in eV/atom: -8.43
Energy relative to the elements, uncorrected in eV/atom: -1.881
Magnetic moment in μB/f.u.: 0.000

***

(4)
# LiTiN2O

LiTiN2O after structural relaxation (PBE-GGA, the Alexandria database).

abc: 4.008 4.008 3.858
angles: 90.00 90.00 90.00
Fractional positions:
N 0.000 0.500 0.000
N 0.500 0.000 0.000
Li 0.500 0.500 0.500
O 0.000 0.000 0.500
Ti 0.000 0.000 0.000

Computed properties:
DOS at the Fermi energy in states/eV/cell: 1.214
Crystal system: tetragonal
DFT total energy in eV/atom: -6.70
Energy relative to the elements, uncorrected in eV/atom: -0.412
Magnetic moment in μB/f.u.: 2.420

***

(5)
# LiTiN2O

LiTiN2O after structural relaxation (PBE-GGA, the Alexandria database).

abc: 3.443 3.443 3.576
angles: 90.00 90.00 90.00
Fractional positions:
N 0.000 0.500 0.000
N 0.500 0.000 0.000
Li 0.000 0.000 0.000
O 0.000 0.000 0.500
Ti 0.500 0.500 0.500

Computed properties:
DOS at the Fermi energy in states/eV/cell: 3.237
Crystal system: tetragonal
DFT total energy in eV/atom: -5.86
Energy relative to the elements, uncorrected in eV/atom: 0.422
Magnetic moment in μB/f.u.: 0.000

***

(6)
# LiTlN2O

LiTlN2O after structural relaxation (PBE-GGA, the Alexandria database).

abc: 4.440 4.440 4.391
angles: 90.00 90.00 90.00
Fractional positions:
Tl 0.000 0.000 0.000
Li 0.500 0.500 0.500
O 0.000 0.000 0.500
N 0.000 0.500 0.000
N 0.500 0.000 0.000

Computed properties:
DOS at the Fermi energy in states/eV/cell: 2.384
Crystal system: tetragonal
DFT total energy in eV/atom: -3.85
Energy relative to the elements, uncorrected in eV/atom: 1.331
Magnetic moment in μB/f.u.: 3.638